Entry 1:
The following is a PBE calculation of a relaxed KHgPb2 crystal, from the Alexandria database.

Geometry as CIF:
```
data_KHgPb2
_chemical_formula_sum 'K2 Hg2 Pb4'
_space_group_name_H-M_alt 'C 1 m 1'
_space_group_IT_number 8
_cell_length_a 9.993
_cell_length_b 3.649
_cell_length_c 7.652
_cell_angle_alpha 90.00
_cell_angle_beta 98.42
_cell_angle_gamma 90.00
loop_
_space_group_symop_operation_xyz
'x,y,z'
'x,-y,z'
'x+1/2,y+1/2,z'
'x+1/2,-y+1/2,z'
loop_
_atom_site_label
_atom_site_type_symbol
_atom_site_fract_x
_atom_site_fract_y
_atom_site_fract_z
K1 K 0.000 0.000 0.000
Hg1 Hg 0.249 0.500 0.270
Pb1 Pb 0.001 0.500 0.484
Pb2 Pb 0.241 0.000 0.693
```

Summary:
Its energy of formation is -0.36 eV/f.u.


Entry 2:
The following is a PBE calculation of a relaxed Co2Cl crystal, from the Alexandria database.

Geometry as CIF:
```
data_Co2Cl
_chemical_formula_sum 'Co8 Cl4'
_space_group_name_H-M_alt 'C m c m'
_space_group_IT_number 63
_space_group_name_Hall '-C 2c 2'
_cell_length_a 3.589
_cell_length_b 16.438
_cell_length_c 3.525
_cell_angle_alpha 90.00
_cell_angle_beta 90.00
_cell_angle_gamma 90.00
loop_
_atom_site_label
_atom_site_type_symbol
_atom_site_fract_x
_atom_site_fract_y
_atom_site_fract_z
Co1 Co 0.000 0.049 0.250
Co2 Co 0.000 0.449 0.250
Cl1 Cl 0.000 0.349 0.750
```

Summary:
Its uncorrected formation energy is -109 meV per atom. As for the polymorph energy (0 for the lowest one): 0 meV per atom.


Entry 3:
The following is a PBE calculation of a relaxed B2Ir4Rh crystal, from the Alexandria database.

Geometry as CIF:
```
data_B2Ir4Rh
_chemical_formula_sum 'B8 Ir16 Rh4'
_space_group_name_H-M_alt 'C 1 m 1'
_space_group_IT_number 8
_cell_length_a 14.086
_cell_length_b 5.504
_cell_length_c 5.131
_cell_angle_alpha 90.00
_cell_angle_beta 111.27
_cell_angle_gamma 90.00
loop_
_space_group_symop_operation_xyz
'x,y,z'
'x,-y,z'
'x+1/2,y+1/2,z'
'x+1/2,-y+1/2,z'
loop_
_atom_site_label
_atom_site_type_symbol
_atom_site_fract_x
_atom_site_fract_y
_atom_site_fract_z
B1 B 0.000 0.000 0.000
B2 B 0.153 0.000 0.652
B3 B 0.326 0.250 0.412
Ir1 Ir 0.053 0.259 0.761
Ir2 Ir 0.100 0.260 0.309
Ir3 Ir 0.223 0.000 0.110
Ir4 Ir 0.310 0.000 0.716
Ir5 Ir 0.344 0.500 0.750
Ir6 Ir 0.429 0.500 0.317
Rh1 Rh 0.225 0.500 0.097
Rh2 Rh 0.427 0.000 0.302
```

Summary:
Its energy of formation is 0.37 eV/f.u.


Please write out number 1 again, unchanged.
The following is a PBE calculation of a relaxed KHgPb2 crystal, from the Alexandria database.

Geometry as CIF:
```
data_KHgPb2
_chemical_formula_sum 'K2 Hg2 Pb4'
_space_group_name_H-M_alt 'C 1 m 1'
_space_group_IT_number 8
_cell_length_a 9.993
_cell_length_b 3.649
_cell_length_c 7.652
_cell_angle_alpha 90.00
_cell_angle_beta 98.42
_cell_angle_gamma 90.00
loop_
_space_group_symop_operation_xyz
'x,y,z'
'x,-y,z'
'x+1/2,y+1/2,z'
'x+1/2,-y+1/2,z'
loop_
_atom_site_label
_atom_site_type_symbol
_atom_site_fract_x
_atom_site_fract_y
_atom_site_fract_z
K1 K 0.000 0.000 0.000
Hg1 Hg 0.249 0.500 0.270
Pb1 Pb 0.001 0.500 0.484
Pb2 Pb 0.241 0.000 0.693
```

Summary:
Its energy of formation is -0.36 eV/f.u.